This record from Alexandria describes crystalline AcWO6 at its relaxed geometry. The functional is PBE with a Hubbard U.

Cell: 6.277 6.277 6.277 Å, 60.00 60.00 60.00°
Element x y z (fractional)
Ac  0.000  0.000  0.000
W  0.500  0.500  0.500
O  0.283  0.283  0.717
O  0.283  0.717  0.283
O  0.283  0.717  0.717
O  0.717  0.283  0.283
O  0.717  0.283  0.717
O  0.717  0.717  0.283

DFT total energy = -0.503 Ry per atom
total magnetization = 3.0 Bohr magnetons per cell